one.
VASP calculation (SCAN) on a PBEsol-optimized structure of ScTlBr.

a = 3.580 Å, b = 5.861 Å, c = 15.266 Å
α = 90.00°, β = 90.00°, γ = 90.00°
Space group Fmm2 (No. 42)
Asymmetric unit:
Sc 0.000 0.000 0.000
Tl 0.000 0.000 0.656
Br 0.000 0.000 0.374

two.
VASP calculation (SCAN) on a PBEsol-optimized structure of ScTlBr.

a = 3.4749 Å, b = 3.4749 Å, c = 7.3454 Å
α = 90.00°, β = 90.00°, γ = 120.00°
Space group P3m1 (No. 156)
Asymmetric unit:
Sc 0.0000 0.0000 0.0000
Tl 0.3333 0.6667 0.6867
Br 0.6667 0.3333 0.2432

What should be chosen as the least stable of them? Choose one.

one.
VASP calculation (SCAN) on a PBEsol-optimized structure of ScW2Br.

a = 3.267 Å, b = 5.024 Å, c = 9.108 Å
α = 90.00°, β = 90.00°, γ = 90.00°
Space group Cmm2 (No. 35)
Asymmetric unit:
Sc 0.000 0.000 0.000
W 0.000 0.000 0.542
W 0.000 0.500 0.753
Br 0.000 0.500 0.225

two.
VASP calculation (SCAN) on a PBEsol-optimized structure of ScW2Br.

a = 3.704 Å, b = 3.704 Å, c = 10.164 Å
α = 90.00°, β = 90.00°, γ = 90.00°
Space group I4/mmm (No. 139)
Asymmetric unit:
Sc 0.000 0.000 0.000
W 0.000 0.500 0.250
Br 0.000 0.000 0.500

What should be chosen as the least stable of them? Choose two.